A plane-wave DFT calculation with PBE was carried out for a relaxed structure of TlRh2Au.

```
TlRh2Au
1.0
-1.486 2.385 4.896
1.486 -2.385 4.896
1.486 2.385 -4.896
Tl Rh Au
1 2 1
Direct
0.000 0.000 0.000
0.249 0.749 0.500
0.478 0.478 0.000
0.733 0.233 0.500
```

Computed properties:
The calculation puts the density of states at the Fermi level at 4.437 states/eV/cell. The calculation puts the raw total energy at -19.464 eV per cell. The value obtained for the density is 14.52 g/cm³. For the magnetic moment, the calculation gives 0.00 μB/cell.

***

A plane-wave DFT calculation with PBE was carried out for a relaxed structure of ZrMo2Ru2.

```
ZrMo2Ru2
1.0
-2.079 2.079 5.308
2.079 -2.079 5.308
2.079 2.079 -5.308
Zr Mo Ru
1 2 2
Direct
0.000 0.000 0.000
0.382 0.382 0.000
0.618 0.618 0.000
0.250 0.750 0.500
0.750 0.250 0.500
```

Computed properties:
The calculation puts the density of states at the Fermi level at 5.626 states/eV/cell. The value obtained for the density is 8.78 g/cm³. As for the energy relative to the lowest polymorph listed for this composition: 221.9 meV/atom. For the magnetic moment, the calculation gives 0.00 μB/cell.

***

A plane-wave DFT calculation with PBE was carried out for a relaxed structure of PrIn4Bi.

```
PrIn4Bi
1.0
0.000 4.378 4.378
4.378 0.000 4.378
4.378 4.378 0.000
Pr In Bi
1 4 1
Direct
0.000 0.000 0.000
0.375 0.375 0.375
0.375 0.375 0.875
0.375 0.875 0.375
0.875 0.375 0.375
0.750 0.750 0.750
```

Computed properties:
The calculation puts the density of states at the Fermi level at 4.582 states/eV/cell. The calculation puts the raw total energy at -20.567 eV per cell. The value obtained for the density is 8.01 g/cm³. For the magnetic moment, the calculation gives 0.00 μB/cell.

***

A plane-wave DFT calculation with PBE was carried out for a relaxed structure of BeAlCo2.

```
BeAlCo2
1.0
-1.702 1.702 3.709
1.702 -1.702 3.709
1.702 1.702 -3.709
Be Al Co
1 1 2
Direct
0.000 0.000 0.000
0.750 0.250 0.500
0.250 0.750 0.500
0.500 0.500 0.000
```

Computed properties:
The calculation puts the density of states at the Fermi level at 5.161 states/eV/cell. The calculation puts the raw total energy at -22.487 eV per cell. The value obtained for the density is 5.95 g/cm³. For the magnetic moment, the calculation gives 1.74 μB/cell.

***

A plane-wave DFT calculation with PBE was carried out for a relaxed structure of Hf2HgBPt.

```
Hf2HgBPt
1.0
5.150 0.000 0.000
0.000 5.150 0.000
0.000 0.000 4.937
Hf Hg B Pt
2 1 1 1
Direct
0.000 0.500 0.000
0.500 0.000 0.000
0.000 0.000 0.000
0.500 0.500 0.500
0.000 0.000 0.500
```

Computed properties:
The calculation puts the density of states at the Fermi level at 4.122 states/eV/cell. The calculation puts the raw total energy at -23.241 eV per cell. The value obtained for the density is 9.68 g/cm³. For the magnetic moment, the calculation gives 0.00 μB/cell.

***

A plane-wave DFT calculation with PBE was carried out for a relaxed structure of La5Sm2Y3.

```
La5Sm2Y3
1.0
5.544 -7.405 0.000
5.544 7.405 0.000
-5.518 0.000 8.669
La Sm Y
10 4 6
Direct
0.013 0.987 0.750
0.126 0.384 0.756
0.223 0.777 0.750
0.384 0.126 0.256
0.474 0.526 0.250
0.526 0.474 0.750
0.616 0.874 0.744
0.777 0.223 0.250
0.874 0.616 0.244
0.987 0.013 0.250
0.029 0.283 0.064
0.283 0.029 0.564
0.717 0.971 0.436
0.971 0.717 0.936
0.222 0.473 0.445
0.267 0.733 0.250
0.473 0.222 0.945
0.527 0.778 0.055
0.733 0.267 0.750
0.778 0.527 0.555
```

Computed properties:
The calculation puts the density of states at the Fermi level at 35.693 states/eV/cell. The calculation puts the raw total energy at -103.738 eV per cell. The value obtained for the density is 5.89 g/cm³. For the magnetic moment, the calculation gives 0.00 μB/cell.

***

A plane-wave DFT calculation with PBE was carried out for a relaxed structure of Tb2CeAu4.

```
Tb2CeAu4
1.0
-3.614 3.614 3.473
3.614 -3.614 3.473
3.614 3.614 -3.473
Tb Ce Au
2 1 4
Direct
0.000 0.500 0.500
0.500 0.000 0.500
0.000 0.000 0.000
0.000 0.000 0.500
0.000 0.500 0.000
0.500 0.000 0.000
0.500 0.500 0.500
```

Computed properties:
The calculation puts the density of states at the Fermi level at 9.267 states/eV/cell. The calculation puts the raw total energy at -32.477 eV per cell. The value obtained for the density is 11.40 g/cm³. For the magnetic moment, the calculation gives 0.89 μB/cell.

***

A plane-wave DFT calculation with PBE was carried out for a relaxed structure of RbMnSe2S.

```
RbMnSe2S
1.0
5.086 0.000 0.000
0.000 5.086 0.000
0.000 0.000 5.723
Rb Mn Se S
1 1 2 1
Direct
0.000 0.000 0.000
0.500 0.500 0.000
0.000 0.500 0.500
0.500 0.000 0.500
0.000 0.000 0.500
```

Computed properties:
The calculation puts the density of states at the Fermi level at 3.401 states/eV/cell. For the formation energy (no corrections), the calculation gives 0.4724 eV per atom. The value obtained for the density is 3.71 g/cm³. For the magnetic moment, the calculation gives 5.39 μB/cell.